Record 1
{"formula": "ZrCrF2", "functional": "PBE+U", "state": "optimized geometry", "lattice": [[-2.651, 2.651, 4.967], [2.651, -2.651, 4.967], [2.651, 2.651, -4.967]], "species": ["Zr", "Zr", "Cr", "Cr", "F", "F", "F", "F"], "frac_coords": [[0.000, 0.000, 0.000], [0.750, 0.250, 0.500], [0.250, 0.750, 0.500], [0.500, 0.500, 0.000], [0.126, 0.625, 0.001], [0.375, 0.376, 0.501], [0.624, 0.125, 0.999], [0.875, 0.874, 0.499]], "e_above_lowest_polymorph_mev_per_atom": 376, "space_group": "I-42d", "energy_ev_per_atom": -6.215, "m_tot_mub_per_fu": 2.9, "mass_density_g_cm3": 4.31}

***

Record 2
{"formula": "ZrCr3F", "functional": "PBE+U", "state": "optimized geometry", "lattice": [[4.503, 0.000, 0.000], [0.000, 4.503, 0.000], [0.000, 0.000, 4.503]], "species": ["Zr", "Cr", "Cr", "Cr", "F"], "frac_coords": [[0.000, 0.000, 0.000], [0.000, 0.500, 0.500], [0.500, 0.000, 0.500], [0.500, 0.500, 0.000], [0.500, 0.500, 0.500]], "e_above_lowest_polymorph_mev_per_atom": 0, "space_group": "Pm-3m", "energy_ev_per_atom": -6.407, "m_tot_mub_per_fu": 11.2, "mass_density_g_cm3": 4.84}

***

Record 3
{"formula": "Zr2CrF", "functional": "PBE+U", "state": "optimized geometry", "lattice": [[-2.658, 2.658, 6.249], [2.658, -2.658, 6.249], [2.658, 2.658, -6.249]], "species": ["Zr", "Zr", "Zr", "Zr", "Cr", "Cr", "F", "F"], "frac_coords": [[0.013, 0.625, 0.888], [0.375, 0.263, 0.388], [0.737, 0.125, 0.112], [0.875, 0.987, 0.612], [0.250, 0.750, 0.500], [0.500, 0.500, 0.000], [0.000, 0.000, 0.000], [0.750, 0.250, 0.500]], "e_above_lowest_polymorph_mev_per_atom": 0, "space_group": "I-42d", "energy_ev_per_atom": -6.718, "m_tot_mub_per_fu": 4.0, "mass_density_g_cm3": 4.77}

***

Record 4
{"formula": "ZrCrF2", "functional": "PBE+U", "state": "optimized geometry", "lattice": [[1.779, 1.027, 6.321], [-1.779, 1.027, 6.321], [0.000, -2.055, 6.321]], "species": ["Zr", "Cr", "F", "F"], "frac_coords": [[0.000, 0.000, 0.000], [0.500, 0.500, 0.500], [0.112, 0.112, 0.112], [0.888, 0.888, 0.888]], "e_above_lowest_polymorph_mev_per_atom": 152, "space_group": "R-3m", "energy_ev_per_atom": -6.439, "m_tot_mub_per_fu": 5.6, "mass_density_g_cm3": 4.34}

***

Record 5
{"formula": "ZrCr3F", "functional": "PBE+U", "state": "optimized geometry", "lattice": [[5.171, 0.000, 0.000], [0.000, 5.171, 0.000], [0.000, 0.000, 5.171]], "species": ["Zr", "Cr", "Cr", "Cr", "F"], "frac_coords": [[0.000, 0.000, 0.000], [0.000, 0.000, 0.500], [0.000, 0.500, 0.000], [0.500, 0.000, 0.000], [0.500, 0.500, 0.500]], "e_above_lowest_polymorph_mev_per_atom": 1296, "space_group": "Pm-3m", "energy_ev_per_atom": -5.111, "m_tot_mub_per_fu": 12.1, "mass_density_g_cm3": 3.20}

***

Record 6
{"formula": "ZrCrF2", "functional": "PBE+U", "state": "optimized geometry", "lattice": [[0.000, 3.055, 3.055], [3.055, 0.000, 3.055], [3.055, 3.055, 0.000]], "species": ["Zr", "Cr", "F", "F"], "frac_coords": [[0.000, 0.000, 0.000], [0.500, 0.500, 0.500], [0.250, 0.250, 0.250], [0.750, 0.750, 0.750]], "e_above_lowest_polymorph_mev_per_atom": 623, "space_group": "Fm-3m", "energy_ev_per_atom": -5.968, "m_tot_mub_per_fu": 3.6, "mass_density_g_cm3": 5.28}